# CsC8 SCAN PBEsol geometry
data_CsC8
_space_group_name_H-M_alt 'P 1'
_space_group_IT_number 1
_space_group_name_Hall 'P 1'
_cell_length_a 4.959
_cell_length_b 4.959
_cell_length_c 5.946
_cell_angle_alpha 90.00
_cell_angle_beta 90.00
_cell_angle_gamma 120.00
loop_
_atom_site_label
_atom_site_type_symbol
_atom_site_fract_x
_atom_site_fract_y
_atom_site_fract_z
Cs1 Cs 0.000 0.000 0.000
C1 C 0.167 0.333 0.500
C2 C 0.167 0.833 0.500
C3 C 0.333 0.167 0.500
C4 C 0.333 0.667 0.500
C5 C 0.667 0.333 0.500
C6 C 0.667 0.833 0.500
C7 C 0.833 0.167 0.500
C8 C 0.833 0.667 0.500
# energy relative to the elements = -0.075 eV/atom



# AlTl2AsP SCAN PBEsol geometry
data_AlTl2AsP
_space_group_name_H-M_alt 'P 1'
_space_group_IT_number 1
_space_group_name_Hall 'P 1'
_cell_length_a 5.347
_cell_length_b 5.347
_cell_length_c 4.809
_cell_angle_alpha 90.00
_cell_angle_beta 90.00
_cell_angle_gamma 90.00
loop_
_atom_site_label
_atom_site_type_symbol
_atom_site_fract_x
_atom_site_fract_y
_atom_site_fract_z
Al1 Al 0.000 0.000 0.000
Tl1 Tl 0.000 0.500 0.500
Tl2 Tl 0.500 0.000 0.500
As1 As 0.000 0.000 0.500
P1 P 0.500 0.500 0.000
# energy relative to the elements = 0.722 eV/atom



# MnRh2Br SCAN PBEsol geometry
data_MnRh2Br
_space_group_name_H-M_alt 'P 1'
_space_group_IT_number 1
_space_group_name_Hall 'P 1'
_cell_length_a 2.918
_cell_length_b 2.918
_cell_length_c 24.414
_cell_angle_alpha 90.00
_cell_angle_beta 90.00
_cell_angle_gamma 120.00
loop_
_atom_site_label
_atom_site_type_symbol
_atom_site_fract_x
_atom_site_fract_y
_atom_site_fract_z
Mn1 Mn 0.000 0.000 0.000
Mn2 Mn 0.333 0.667 0.667
Mn3 Mn 0.667 0.333 0.333
Rh1 Rh 0.000 0.000 0.256
Rh2 Rh 0.000 0.000 0.744
Rh3 Rh 0.333 0.667 0.410
Rh4 Rh 0.333 0.667 0.923
Rh5 Rh 0.667 0.333 0.077
Rh6 Rh 0.667 0.333 0.590
Br1 Br 0.000 0.000 0.500
Br2 Br 0.333 0.667 0.167
Br3 Br 0.667 0.333 0.833
# energy above the lowest structure with this stoichiometry = 0 kJ/mol of formula units
# energy relative to the elements, uncorrected = 198 meV per atom



# LiTePb2 SCAN PBEsol geometry
data_LiTePb2
_space_group_name_H-M_alt 'P 1'
_space_group_IT_number 1
_space_group_name_Hall 'P 1'
_cell_length_a 4.481
_cell_length_b 4.494
_cell_length_c 5.440
_cell_angle_alpha 90.00
_cell_angle_beta 90.00
_cell_angle_gamma 90.00
loop_
_atom_site_label
_atom_site_type_symbol
_atom_site_fract_x
_atom_site_fract_y
_atom_site_fract_z
Li1 Li 0.000 0.000 0.000
Te1 Te 0.500 0.500 0.000
Pb1 Pb 0.000 0.500 0.500
Pb2 Pb 0.500 0.000 0.500
# energy relative to the elements, uncorrected = -254 meV per atom



# Y2TlAs2 SCAN PBEsol geometry
data_Y2TlAs2
_space_group_name_H-M_alt 'P 1'
_space_group_IT_number 1
_space_group_name_Hall 'P 1'
_cell_length_a 7.868
_cell_length_b 7.868
_cell_length_c 3.761
_cell_angle_alpha 90.00
_cell_angle_beta 90.00
_cell_angle_gamma 90.00
loop_
_atom_site_label
_atom_site_type_symbol
_atom_site_fract_x
_atom_site_fract_y
_atom_site_fract_z
Y1 Y 0.157 0.343 0.000
Y2 Y 0.343 0.843 0.000
Y3 Y 0.657 0.157 0.000
Y4 Y 0.843 0.657 0.000
Tl1 Tl 0.000 0.000 0.500
Tl2 Tl 0.500 0.500 0.500
As1 As 0.144 0.644 0.500
As2 As 0.356 0.144 0.500
As3 As 0.644 0.856 0.500
As4 As 0.856 0.356 0.500
# energy relative to the elements = -1.090 eV/atom



# Mg2Zn SCAN PBEsol geometry
data_Mg2Zn
_space_group_name_H-M_alt 'P 1'
_space_group_IT_number 1
_space_group_name_Hall 'P 1'
_cell_length_a 10.863
_cell_length_b 3.050
_cell_length_c 7.238
_cell_angle_alpha 90.00
_cell_angle_beta 107.94
_cell_angle_gamma 90.00
loop_
_atom_site_label
_atom_site_type_symbol
_atom_site_fract_x
_atom_site_fract_y
_atom_site_fract_z
Mg1 Mg 0.139 0.000 0.036
Mg2 Mg 0.164 0.000 0.612
Mg3 Mg 0.336 0.500 0.388
Mg4 Mg 0.361 0.500 0.964
Mg5 Mg 0.639 0.500 0.036
Mg6 Mg 0.664 0.500 0.612
Mg7 Mg 0.836 0.000 0.388
Mg8 Mg 0.861 0.000 0.964
Zn1 Zn 0.034 0.500 0.284
Zn2 Zn 0.466 0.000 0.716
Zn3 Zn 0.534 0.000 0.284
Zn4 Zn 0.966 0.500 0.716
# energy relative to the elements = -0.079 eV/atom



# BeReIr3 SCAN PBEsol geometry
data_BeReIr3
_space_group_name_H-M_alt 'P 1'
_space_group_IT_number 1
_space_group_name_Hall 'P 1'
_cell_length_a 4.675
_cell_length_b 4.675
_cell_length_c 4.675
_cell_angle_alpha 90.00
_cell_angle_beta 90.00
_cell_angle_gamma 90.00
loop_
_atom_site_label
_atom_site_type_symbol
_atom_site_fract_x
_atom_site_fract_y
_atom_site_fract_z
Be1 Be 0.000 0.000 0.000
Re1 Re 0.500 0.500 0.500
Ir1 Ir 0.000 0.500 0.500
Ir2 Ir 0.500 0.000 0.500
Ir3 Ir 0.500 0.500 0.000
# energy relative to the elements = 2.079 eV/atom



# TaTl2Rh SCAN PBEsol geometry
data_TaTl2Rh
_space_group_name_H-M_alt 'P 1'
_space_group_IT_number 1
_space_group_name_Hall 'P 1'
_cell_length_a 3.033
_cell_length_b 3.129
_cell_length_c 8.667
_cell_angle_alpha 90.00
_cell_angle_beta 100.07
_cell_angle_gamma 90.00
loop_
_atom_site_label
_atom_site_type_symbol
_atom_site_fract_x
_atom_site_fract_y
_atom_site_fract_z
Ta1 Ta 0.000 0.000 0.000
Tl1 Tl 0.204 0.000 0.415
Tl2 Tl 0.372 0.500 0.741
Rh1 Rh 0.585 0.500 0.170
# energy above the lowest structure with this stoichiometry = 0 kJ/mol of formula units
# energy relative to the elements = 0.071 eV/atom



# CdTcOs2 SCAN PBEsol geometry
data_CdTcOs2
_space_group_name_H-M_alt 'P 1'
_space_group_IT_number 1
_space_group_name_Hall 'P 1'
_cell_length_a 2.745
_cell_length_b 2.745
_cell_length_c 8.030
_cell_angle_alpha 90.00
_cell_angle_beta 90.00
_cell_angle_gamma 90.00
loop_
_atom_site_label
_atom_site_type_symbol
_atom_site_fract_x
_atom_site_fract_y
_atom_site_fract_z
Cd1 Cd 0.000 0.000 0.000
Tc1 Tc 0.500 0.500 0.726
Os1 Os 0.000 0.000 0.495
Os2 Os 0.500 0.500 0.271
# energy relative to the elements = 0.342 eV/atom



# KSc2Pt SCAN PBEsol geometry
data_KSc2Pt
_space_group_name_H-M_alt 'P 1'
_space_group_IT_number 1
_space_group_name_Hall 'P 1'
_cell_length_a 6.238
_cell_length_b 9.867
_cell_length_c 3.023
_cell_angle_alpha 90.00
_cell_angle_beta 113.90
_cell_angle_gamma 90.00
loop_
_atom_site_label
_atom_site_type_symbol
_atom_site_fract_x
_atom_site_fract_y
_atom_site_fract_z
K1 K 0.000 0.000 0.000
K2 K 0.500 0.500 0.000
Sc1 Sc 0.250 0.250 0.500
Sc2 Sc 0.250 0.750 0.500
Sc3 Sc 0.750 0.250 0.500
Sc4 Sc 0.750 0.750 0.500
Pt1 Pt 0.000 0.500 0.000
Pt2 Pt 0.500 0.000 0.000
# energy above the lowest structure with this stoichiometry = 257 kJ/mol of formula units
# energy relative to the elements = 0.197 eV/atom



# K2Y SCAN PBEsol geometry
data_K2Y
_space_group_name_H-M_alt 'P 1'
_space_group_IT_number 1
_space_group_name_Hall 'P 1'
_cell_length_a 16.044
_cell_length_b 3.721
_cell_length_c 10.184
_cell_angle_alpha 90.00
_cell_angle_beta 106.13
_cell_angle_gamma 90.00
loop_
_atom_site_label
_atom_site_type_symbol
_atom_site_fract_x
_atom_site_fract_y
_atom_site_fract_z
K1 K 0.000 0.000 0.000
K2 K 0.058 0.000 0.628
K3 K 0.160 0.500 0.318
K4 K 0.322 0.000 0.667
K5 K 0.500 0.500 0.000
K6 K 0.558 0.500 0.628
K7 K 0.660 0.000 0.318
K8 K 0.822 0.500 0.667
Y1 Y 0.253 0.500 0.001
Y2 Y 0.376 0.000 0.260
Y3 Y 0.753 0.000 0.001
Y4 Y 0.876 0.500 0.260
# energy relative to the elements = 0.418 eV/atom



# NaZnB3H12 SCAN PBEsol geometry
data_NaZnB3H12
_space_group_name_H-M_alt 'P 1'
_space_group_IT_number 1
_space_group_name_Hall 'P 1'
_cell_length_a 8.422
_cell_length_b 4.153
_cell_length_c 17.653
_cell_angle_alpha 90.00
_cell_angle_beta 96.59
_cell_angle_gamma 90.00
loop_
_atom_site_label
_atom_site_type_symbol
_atom_site_fract_x
_atom_site_fract_y
_atom_site_fract_z
Na1 Na 0.182 0.114 0.364
Na2 Na 0.182 0.386 0.864
Na3 Na 0.818 0.614 0.136
Na4 Na 0.818 0.886 0.636
Zn1 Zn 0.280 0.556 0.611
Zn2 Zn 0.280 0.944 0.111
Zn3 Zn 0.720 0.056 0.889
Zn4 Zn 0.720 0.444 0.389
B1 B 0.096 0.136 0.180
B2 B 0.096 0.364 0.680
B3 B 0.224 0.545 0.487
B4 B 0.224 0.955 0.987
B5 B 0.497 0.221 0.350
B6 B 0.497 0.279 0.850
B7 B 0.503 0.721 0.150
B8 B 0.503 0.779 0.650
B9 B 0.776 0.045 0.013
B10 B 0.776 0.455 0.513
B11 B 0.904 0.636 0.320
B12 B 0.904 0.864 0.820
H1 H 0.048 0.641 0.336
H2 H 0.048 0.859 0.836
H3 H 0.107 0.112 0.964
H4 H 0.107 0.388 0.464
H5 H 0.134 0.655 0.683
H6 H 0.134 0.845 0.183
H7 H 0.144 0.231 0.739
H8 H 0.144 0.269 0.239
H9 H 0.151 0.208 0.627
H10 H 0.151 0.292 0.127
H11 H 0.173 0.736 0.028
H12 H 0.173 0.764 0.528
H13 H 0.297 0.678 0.441
H14 H 0.297 0.822 0.941
H15 H 0.325 0.142 0.022
H16 H 0.325 0.358 0.522
H17 H 0.376 0.573 0.157
H18 H 0.376 0.927 0.657
H19 H 0.416 0.172 0.289
H20 H 0.416 0.328 0.789
H21 H 0.445 0.131 0.408
H22 H 0.445 0.369 0.908
H23 H 0.487 0.024 0.148
H24 H 0.487 0.476 0.648
H25 H 0.513 0.524 0.352
H26 H 0.513 0.976 0.852
H27 H 0.555 0.631 0.092
H28 H 0.555 0.869 0.592
H29 H 0.584 0.672 0.211
H30 H 0.584 0.828 0.711
H31 H 0.624 0.073 0.343
H32 H 0.624 0.427 0.843
H33 H 0.675 0.642 0.478
H34 H 0.675 0.858 0.978
H35 H 0.703 0.178 0.059
H36 H 0.703 0.322 0.559
H37 H 0.827 0.236 0.472
H38 H 0.827 0.264 0.972
H39 H 0.849 0.708 0.873
H40 H 0.849 0.792 0.373
H41 H 0.856 0.731 0.761
H42 H 0.856 0.769 0.261
H43 H 0.866 0.155 0.817
H44 H 0.866 0.345 0.317
H45 H 0.893 0.612 0.536
H46 H 0.893 0.888 0.036
H47 H 0.952 0.141 0.164
H48 H 0.952 0.359 0.664
# calculated total energy = -337.94 eV for the cell shown



# Pd3PtC SCAN PBEsol geometry
data_Pd3PtC
_space_group_name_H-M_alt 'P 1'
_space_group_IT_number 1
_space_group_name_Hall 'P 1'
_cell_length_a 4.065
_cell_length_b 4.065
_cell_length_c 4.065
_cell_angle_alpha 90.00
_cell_angle_beta 90.00
_cell_angle_gamma 90.00
loop_
_atom_site_label
_atom_site_type_symbol
_atom_site_fract_x
_atom_site_fract_y
_atom_site_fract_z
Pd1 Pd 0.000 0.000 0.500
Pd2 Pd 0.000 0.500 0.000
Pd3 Pd 0.500 0.000 0.000
Pt1 Pt 0.500 0.500 0.500
C1 C 0.000 0.000 0.000
# energy relative to the elements = 0.370 eV/atom



# Sm6InCo2 SCAN PBEsol geometry
data_Sm6InCo2
_space_group_name_H-M_alt 'P 1'
_space_group_IT_number 1
_space_group_name_Hall 'P 1'
_cell_length_a 8.391
_cell_length_b 8.391
_cell_length_c 8.391
_cell_angle_alpha 112.38
_cell_angle_beta 109.14
_cell_angle_gamma 106.95
loop_
_atom_site_label
_atom_site_type_symbol
_atom_site_fract_x
_atom_site_fract_y
_atom_site_fract_z
Sm1 Sm 0.030 0.235 0.794
Sm2 Sm 0.184 0.286 0.470
Sm3 Sm 0.184 0.714 0.898
Sm4 Sm 0.323 0.010 0.687
Sm5 Sm 0.323 0.636 0.313
Sm6 Sm 0.441 0.235 0.206
Sm7 Sm 0.559 0.765 0.794
Sm8 Sm 0.677 0.364 0.687
Sm9 Sm 0.677 0.990 0.313
Sm10 Sm 0.816 0.286 0.102
Sm11 Sm 0.816 0.714 0.530
Sm12 Sm 0.970 0.765 0.206
In1 In 0.000 0.000 0.000
In2 In 0.500 0.500 0.000
Co1 Co 0.112 0.612 0.500
Co2 Co 0.339 0.000 0.339
Co3 Co 0.661 0.000 0.661
Co4 Co 0.888 0.388 0.500
# energy relative to the elements = -0.206 eV/atom



# RbSrSn3 SCAN PBEsol geometry
data_RbSrSn3
_space_group_name_H-M_alt 'P 1'
_space_group_IT_number 1
_space_group_name_Hall 'P 1'
_cell_length_a 5.859
_cell_length_b 5.859
_cell_length_c 5.859
_cell_angle_alpha 90.00
_cell_angle_beta 90.00
_cell_angle_gamma 90.00
loop_
_atom_site_label
_atom_site_type_symbol
_atom_site_fract_x
_atom_site_fract_y
_atom_site_fract_z
Rb1 Rb 0.000 0.000 0.000
Sr1 Sr 0.500 0.500 0.500
Sn1 Sn 0.000 0.000 0.500
Sn2 Sn 0.000 0.500 0.000
Sn3 Sn 0.500 0.000 0.000
# energy relative to the elements = 0.765 eV/atom



# HgTeH3 SCAN PBEsol geometry
data_HgTeH3
_space_group_name_H-M_alt 'P 1'
_space_group_IT_number 1
_space_group_name_Hall 'P 1'
_cell_length_a 4.104
_cell_length_b 4.104
_cell_length_c 4.104
_cell_angle_alpha 90.00
_cell_angle_beta 90.00
_cell_angle_gamma 90.00
loop_
_atom_site_label
_atom_site_type_symbol
_atom_site_fract_x
_atom_site_fract_y
_atom_site_fract_z
Hg1 Hg 0.000 0.000 0.000
Te1 Te 0.500 0.500 0.500
H1 H 0.000 0.500 0.500
H2 H 0.500 0.000 0.500
H3 H 0.500 0.500 0.000
# calculated total energy = -113.24 eV for the cell shown



# Bi2P2H SCAN PBEsol geometry
data_Bi2P2H
_space_group_name_H-M_alt 'P 1'
_space_group_IT_number 1
_space_group_name_Hall 'P 1'
_cell_length_a 7.464
_cell_length_b 7.464
_cell_length_c 3.721
_cell_angle_alpha 90.00
_cell_angle_beta 90.00
_cell_angle_gamma 90.00
loop_
_atom_site_label
_atom_site_type_symbol
_atom_site_fract_x
_atom_site_fract_y
_atom_site_fract_z
Bi1 Bi 0.161 0.339 0.000
Bi2 Bi 0.339 0.839 0.000
Bi3 Bi 0.661 0.161 0.000
Bi4 Bi 0.839 0.661 0.000
P1 P 0.146 0.646 0.500
P2 P 0.354 0.146 0.500
P3 P 0.646 0.854 0.500
P4 P 0.854 0.354 0.500
H1 H 0.000 0.000 0.500
H2 H 0.500 0.500 0.500
# calculated total energy = -354.77 eV for the cell shown



# ZrReRh2 SCAN PBEsol geometry
data_ZrReRh2
_space_group_name_H-M_alt 'P 1'
_space_group_IT_number 1
_space_group_name_Hall 'P 1'
_cell_length_a 2.767
_cell_length_b 2.767
_cell_length_c 27.794
_cell_angle_alpha 90.00
_cell_angle_beta 90.00
_cell_angle_gamma 120.00
loop_
_atom_site_label
_atom_site_type_symbol
_atom_site_fract_x
_atom_site_fract_y
_atom_site_fract_z
Zr1 Zr 0.000 0.000 0.000
Zr2 Zr 0.333 0.667 0.667
Zr3 Zr 0.667 0.333 0.333
Re1 Re 0.000 0.000 0.240
Re2 Re 0.333 0.667 0.906
Re3 Re 0.667 0.333 0.573
Rh1 Rh 0.000 0.000 0.498
Rh2 Rh 0.000 0.000 0.751
Rh3 Rh 0.333 0.667 0.165
Rh4 Rh 0.333 0.667 0.417
Rh5 Rh 0.667 0.333 0.084
Rh6 Rh 0.667 0.333 0.832
# energy above the lowest structure with this stoichiometry = 149 kJ/mol of formula units
# energy relative to the elements = 0.005 eV/atom



# SrH2WSe SCAN PBEsol geometry
data_SrH2WSe
_space_group_name_H-M_alt 'P 1'
_space_group_IT_number 1
_space_group_name_Hall 'P 1'
_cell_length_a 4.171
_cell_length_b 4.171
_cell_length_c 6.105
_cell_angle_alpha 90.00
_cell_angle_beta 90.00
_cell_angle_gamma 90.00
loop_
_atom_site_label
_atom_site_type_symbol
_atom_site_fract_x
_atom_site_fract_y
_atom_site_fract_z
Sr1 Sr 0.000 0.000 0.000
H1 H 0.000 0.500 0.500
H2 H 0.500 0.000 0.500
W1 W 0.500 0.500 0.000
Se1 Se 0.000 0.000 0.500
# calculated total energy = -111.28 eV for the cell shown



# ZnRe2Au SCAN PBEsol geometry
data_ZnRe2Au
_space_group_name_H-M_alt 'P 1'
_space_group_IT_number 1
_space_group_name_Hall 'P 1'
_cell_length_a 4.664
_cell_length_b 4.664
_cell_length_c 2.737
_cell_angle_alpha 90.00
_cell_angle_beta 90.00
_cell_angle_gamma 90.00
loop_
_atom_site_label
_atom_site_type_symbol
_atom_site_fract_x
_atom_site_fract_y
_atom_site_fract_z
Zn1 Zn 0.000 0.000 0.000
Re1 Re 0.000 0.500 0.500
Re2 Re 0.500 0.000 0.500
Au1 Au 0.500 0.500 0.000
# energy relative to the elements = 0.702 eV/atom